[1]
Entry from Alexandria via LeMat-Bulk: crystalline SbTe2RuC at its relaxed geometry (GGA-PBE). Values from VASP.

## Properties
Uncorrected energy ... -0.3320 Ry/atom
Uncorrected formation energy ... 1264 meV/atom
Space-group type ... P4/mmm (123)

```
&SYSTEM
  ibrav = 0, nat = 5, ntyp = 4
/
ATOMIC_SPECIES
Sb 121.76 Sb.upf
Te 127.60 Te.upf
Ru 101.07 Ru.upf
C 12.01 C.upf
ATOMIC_POSITIONS crystal
Sb 0.000 0.000 0.000
Te 0.000 0.500 0.500
Te 0.500 0.000 0.500
Ru 0.500 0.500 0.000
C 0.000 0.000 0.500
CELL_PARAMETERS angstrom
4.634 0.000 0.000
0.000 4.634 0.000
0.000 0.000 4.590
```

[2]
Entry from Alexandria via LeMat-Bulk: crystalline SbTe2RuC at its relaxed geometry (GGA-PBE). Values from VASP.

## Properties
Uncorrected energy ... -0.2977 Ry/atom
Uncorrected formation energy ... 1731 meV/atom
Space-group type ... P4/mmm (123)

```
&SYSTEM
  ibrav = 0, nat = 5, ntyp = 4
/
ATOMIC_SPECIES
Sb 121.76 Sb.upf
Te 127.60 Te.upf
Ru 101.07 Ru.upf
C 12.01 C.upf
ATOMIC_POSITIONS crystal
Sb 0.000 0.000 0.000
Te 0.000 0.500 0.500
Te 0.500 0.000 0.500
Ru 0.000 0.000 0.500
C 0.500 0.500 0.000
CELL_PARAMETERS angstrom
5.253 0.000 0.000
0.000 5.253 0.000
0.000 0.000 5.032
```

[3]
Entry from Alexandria via LeMat-Bulk: crystalline TlSbRuC2 at its relaxed geometry (GGA-PBE). Values from VASP.

## Properties
Uncorrected energy ... -0.2949 Ry/atom
Uncorrected formation energy ... 2831 meV/atom
Space-group type ... P4/mmm (123)

```
&SYSTEM
  ibrav = 0, nat = 5, ntyp = 4
/
ATOMIC_SPECIES
Tl 204.38 Tl.upf
Sb 121.76 Sb.upf
Ru 101.07 Ru.upf
C 12.01 C.upf
ATOMIC_POSITIONS crystal
Tl 0.000 0.000 0.000
Sb 0.500 0.500 0.500
Ru 0.000 0.000 0.500
C 0.000 0.500 0.000
C 0.500 0.000 0.000
CELL_PARAMETERS angstrom
4.246 0.000 0.000
0.000 4.246 0.000
0.000 0.000 5.365
```

[4]
Entry from Alexandria via LeMat-Bulk: crystalline U2Sb2Ru4C at its relaxed geometry (GGA-PBE). Values from VASP.

## Properties
Uncorrected energy ... -0.6289 Ry/atom
Uncorrected formation energy ... 16 meV/atom
Space-group type ... I4/mmm (139)

```
&SYSTEM
  ibrav = 0, nat = 9, ntyp = 4
/
ATOMIC_SPECIES
U 238.03 U.upf
Sb 121.76 Sb.upf
Ru 101.07 Ru.upf
C 12.01 C.upf
ATOMIC_POSITIONS crystal
U 0.218 0.218 0.000
U 0.782 0.782 0.000
Sb 0.250 0.750 0.500
Sb 0.750 0.250 0.500
Ru 0.249 0.249 0.497
Ru 0.249 0.751 0.000
Ru 0.751 0.249 0.000
Ru 0.751 0.751 0.503
C 0.500 0.500 0.000
CELL_PARAMETERS angstrom
-3.038 3.038 4.178
3.038 -3.038 4.178
3.038 3.038 -4.178
```